Density functional theory data (GGA-PBE) for crystalline TaCoPt2 at its relaxed geometry.

a b c (Å): 2.8154 2.8154 7.6128
angles (deg): 90.00 90.00 90.00
Last column: nearest neighbours and their distance in Å.
Sites, in units of the cell vectors:
Co: 0.5000 0.5000 0.7500  8 Pt 2.69, 4 Co 2.82
Pt: 0.0000 0.0000 0.5121  4 Co 2.69, 4 Pt 2.82, 4 Ta 2.82
Pt: 0.0000 0.0000 0.9879  4 Co 2.69, 4 Pt 2.82, 4 Ta 2.82
Ta: 0.5000 0.5000 0.2500  4 Ta 2.82, 8 Pt 2.82

Density of states at the Fermi level: 4.7 states/eV per cell
Space group: No. 123
Spin magnetization: 0.61 μB per atom
E_tot: -8.12 eV/atom
Calculated formation energy: -0.365 eV/atom
Volume: 60.3 Å³/cell
Crystal system: tetragonal
Distance to the lowest polymorph of the same formula: 0.231 eV/atom

***

Density functional theory data (GGA-PBE) for crystalline Cd2In2Hg5 at its relaxed geometry.

a b c (Å): 9.7072 7.1174 7.8706
angles (deg): 116.88 90.00 90.00
Last column: nearest neighbours and their distance in Å.
Sites, in units of the cell vectors:
Hg: 0.6904 0.3405 0.2931  2 Cd 2.97-3.04, 2 In 3.00-3.08, 1 Hg 3.13
Hg: 0.8096 0.5474 0.7069  2 Cd 2.97-3.04, 2 In 3.00-3.08, 1 Hg 3.13
Hg: 0.6904 0.0474 0.7069  2 Cd 2.97-3.04, 2 In 3.00-3.08, 1 Hg 3.13
Hg: 0.1904 0.1595 0.7069  2 Cd 2.97-3.04, 2 In 3.00-3.08, 1 Hg 3.13
Hg: 0.0000 0.0000 0.0000  2 In 3.00, 2 Cd 3.09
Hg: 0.8096 0.8405 0.2931  2 Cd 2.97-3.04, 2 In 3.00-3.08, 1 Hg 3.13
Hg: 0.3096 0.6595 0.7069  2 Cd 2.97-3.04, 2 In 3.00-3.08, 1 Hg 3.13
Hg: 0.1904 0.4526 0.2931  2 Cd 2.97-3.04, 2 In 3.00-3.08, 1 Hg 3.13
Hg: 0.3096 0.9526 0.2931  2 Cd 2.97-3.04, 2 In 3.00-3.08, 1 Hg 3.13
Hg: 0.5000 0.5000 0.0000  2 In 3.00, 2 Cd 3.09
Cd: 0.0000 0.2197 0.4395  5 Hg 2.97-3.09
Cd: 0.5000 0.2803 0.5605  5 Hg 2.97-3.09
Cd: 0.0000 0.7803 0.5605  5 Hg 2.97-3.09
Cd: 0.5000 0.7197 0.4395  5 Hg 2.97-3.09
In: 0.8678 0.3811 0.0000  5 Hg 3.00-3.08, 1 In 3.07
In: 0.6322 0.8811 0.0000  5 Hg 3.00-3.08, 1 In 3.07
In: 0.3678 0.1189 0.0000  5 Hg 3.00-3.08, 1 In 3.07
In: 0.1322 0.6189 0.0000  5 Hg 3.00-3.08, 1 In 3.07

Density of states at the Fermi level: 5.8 states/eV per cell
Space group: No. 64
Spin magnetization: 0.00 μB per atom
E_tot: -0.95 eV/atom
Calculated formation energy: 0.033 eV/atom
Volume: 485.0 Å³/cell
Crystal system: orthorhombic
Distance to the lowest polymorph of the same formula: 0.009 eV/atom

***

What did the second record say?
Density functional theory data (GGA-PBE) for crystalline Cd2In2Hg5 at its relaxed geometry.

a b c (Å): 9.7072 7.1174 7.8706
angles (deg): 116.88 90.00 90.00
Last column: nearest neighbours and their distance in Å.
Sites, in units of the cell vectors:
Hg: 0.6904 0.3405 0.2931  2 Cd 2.97-3.04, 2 In 3.00-3.08, 1 Hg 3.13
Hg: 0.8096 0.5474 0.7069  2 Cd 2.97-3.04, 2 In 3.00-3.08, 1 Hg 3.13
Hg: 0.6904 0.0474 0.7069  2 Cd 2.97-3.04, 2 In 3.00-3.08, 1 Hg 3.13
Hg: 0.1904 0.1595 0.7069  2 Cd 2.97-3.04, 2 In 3.00-3.08, 1 Hg 3.13
Hg: 0.0000 0.0000 0.0000  2 In 3.00, 2 Cd 3.09
Hg: 0.8096 0.8405 0.2931  2 Cd 2.97-3.04, 2 In 3.00-3.08, 1 Hg 3.13
Hg: 0.3096 0.6595 0.7069  2 Cd 2.97-3.04, 2 In 3.00-3.08, 1 Hg 3.13
Hg: 0.1904 0.4526 0.2931  2 Cd 2.97-3.04, 2 In 3.00-3.08, 1 Hg 3.13
Hg: 0.3096 0.9526 0.2931  2 Cd 2.97-3.04, 2 In 3.00-3.08, 1 Hg 3.13
Hg: 0.5000 0.5000 0.0000  2 In 3.00, 2 Cd 3.09
Cd: 0.0000 0.2197 0.4395  5 Hg 2.97-3.09
Cd: 0.5000 0.2803 0.5605  5 Hg 2.97-3.09
Cd: 0.0000 0.7803 0.5605  5 Hg 2.97-3.09
Cd: 0.5000 0.7197 0.4395  5 Hg 2.97-3.09
In: 0.8678 0.3811 0.0000  5 Hg 3.00-3.08, 1 In 3.07
In: 0.6322 0.8811 0.0000  5 Hg 3.00-3.08, 1 In 3.07
In: 0.3678 0.1189 0.0000  5 Hg 3.00-3.08, 1 In 3.07
In: 0.1322 0.6189 0.0000  5 Hg 3.00-3.08, 1 In 3.07

Density of states at the Fermi level: 5.8 states/eV per cell
Space group: No. 64
Spin magnetization: 0.00 μB per atom
E_tot: -0.95 eV/atom
Calculated formation energy: 0.033 eV/atom
Volume: 485.0 Å³/cell
Crystal system: orthorhombic
Distance to the lowest polymorph of the same formula: 0.009 eV/atom

***

Question: What is the density of states at the Fermi level in the first record?
Answer: 4.7 states/eV per cell

***

Question: distance to the lowest polymorph of the same formula of number 1 (TaCoPt2)?
Answer: 0.231 eV/atom

***

Question: Which value of density of states at the Fermi level does entry 2 give?
Answer: 5.8 states/eV per cell